[1]
The following is a DFT calculation (PBE-GGA) of crystalline SrTl2Hg5 at its relaxed geometry.

Lattice parameters (Å, degrees): 8.432 8.432 8.950 118.10 118.10 90.00
Sites, in units of the cell vectors:
Hg  0.024  0.524  0.336
Hg  0.500  0.500  0.000
Hg  0.188  0.976  0.664
Sr  0.250  0.250  0.500
Hg  0.524  0.312  0.336
Hg  0.812  0.024  0.336
Hg  0.976  0.476  0.664
Hg  0.476  0.688  0.664
Hg  0.312  0.812  0.336
Tl  0.656  0.156  0.000
Tl  0.844  0.656  0.000
Tl  0.344  0.844  0.000
Hg  0.000  0.000  0.000
Sr  0.750  0.750  0.500
Tl  0.156  0.344  0.000
Hg  0.688  0.188  0.664

Output
**Total moment**: 0.00 μB/f.u.
**Excess energy over the best structure of this formula in the dataset**: 0.370 eV/f.u.
**Calculated total energy**: -0.086 Ry per atom
**DOS at the Fermi energy**: 5.486 states/eV/cell

[2]
The following is a DFT calculation (PBE-GGA) of crystalline Sr3TlHg at its relaxed geometry.

Lattice parameters (Å, degrees): 6.239 6.239 6.239 90.00 90.00 90.00
Sites, in units of the cell vectors:
Sr  0.500  0.000  0.000
Sr  0.000  0.500  0.000
Tl  0.500  0.500  0.500
Sr  0.000  0.000  0.500
Hg  0.000  0.000  0.000

Output
**Total moment**: 0.00 μB/f.u.
**Excess energy over the best structure of this formula in the dataset**: 1.571 eV/f.u.
**Calculated total energy**: -0.120 Ry per atom
**DOS at the Fermi energy**: 9.812 states/eV/cell

[3]
The following is a DFT calculation (PBE-GGA) of crystalline SrTl4Hg4 at its relaxed geometry.

Lattice parameters (Å, degrees): 4.386 8.032 8.032 85.72 74.15 74.15
Sites, in units of the cell vectors:
Hg  0.327  0.346  0.000
Hg  0.673  0.000  0.654
Tl  0.670  0.330  0.330
Hg  0.327  0.000  0.346
Tl  0.000  0.330  0.670
Hg  0.673  0.654  0.000
Sr  0.000  0.000  0.000
Tl  0.330  0.670  0.670
Tl  0.000  0.670  0.330

Output
**Total moment**: 0.00 μB/f.u.
**Excess energy over the best structure of this formula in the dataset**: 0.000 eV/f.u.
**Calculated total energy**: -0.113 Ry per atom
**DOS at the Fermi energy**: 4.549 states/eV/cell

[4]
The following is a DFT calculation (PBE-GGA) of crystalline SrTl2Hg at its relaxed geometry.

Lattice parameters (Å, degrees): 4.119 4.119 7.311 90.00 90.00 90.00
Sites, in units of the cell vectors:
Tl  0.500  0.500  0.253
Hg  0.000  0.000  0.492
Tl  0.000  0.000  0.020
Sr  0.500  0.500  0.735

Output
**Total moment**: 0.00 μB/f.u.
**Calculated total energy**: -0.143 Ry per atom
**DOS at the Fermi energy**: 1.973 states/eV/cell

[5]
The following is a DFT calculation (PBE-GGA) of crystalline SrTl4Hg2 at its relaxed geometry.

Lattice parameters (Å, degrees): 4.811 4.898 9.700 104.62 90.00 90.00
Sites, in units of the cell vectors:
Sr  0.000  0.000  0.000
Tl  0.000  0.314  0.628
Hg  0.500  0.424  0.847
Tl  0.500  0.183  0.366
Tl  0.000  0.686  0.372
Hg  0.500  0.576  0.153
Tl  0.500  0.817  0.634

Output
**Total moment**: 0.00 μB/f.u.
**Excess energy over the best structure of this formula in the dataset**: 0.245 eV/f.u.
**Calculated total energy**: -0.134 Ry per atom
**DOS at the Fermi energy**: 3.527 states/eV/cell

[6]
The following is a DFT calculation (PBE-GGA) of crystalline Sr2Tl8Hg at its relaxed geometry.

Lattice parameters (Å, degrees): 5.410 7.382 9.833 111.70 105.97 90.00
Sites, in units of the cell vectors:
Tl  0.372  0.145  0.744
Tl  0.999  0.278  0.998
Tl  0.834  0.835  0.668
Sr  0.798  0.301  0.596
Tl  0.628  0.855  0.256
Tl  0.626  0.398  0.251
Tl  0.374  0.602  0.749
Tl  0.001  0.722  0.002
Sr  0.202  0.699  0.404
Hg  0.500  0.000  0.000
Tl  0.166  0.165  0.332

Output
**Total moment**: 0.00 μB/f.u.
**Excess energy over the best structure of this formula in the dataset**: 0.144 eV/f.u.
**Calculated total energy**: -0.162 Ry per atom
**DOS at the Fermi energy**: 4.352 states/eV/cell